one | Entry from the Alexandria database: an optimized crystal structure of FeReW2 (PBE).

Unit cell a=3.173 b=4.338 c=4.321 alpha=90.00 beta=90.00 gamma=90.00
Last column: magnetic moment on the atom in μB.
Element x y z (fractional)
W1 0.500 0.500 0.000  -0.01
W2 0.000 0.000 0.000  -0.01
Fe1 0.500 0.000 0.500  2.25
Re1 0.000 0.500 0.500  0.20

Properties
The calculation puts the total moment at 2.47 μB per formula unit.

two | Entry from the Alexandria database: an optimized crystal structure of FeReW2 (PBE).

Unit cell a=4.398 b=2.684 c=5.154 alpha=80.33 beta=90.00 gamma=90.00
Last column: magnetic moment on the atom in μB.
Element x y z (fractional)
Fe1 0.000 0.499 0.497  2.49
W1 0.500 0.252 0.260  0.02
W2 0.000 0.000 0.994  0.03
Re1 0.500 0.749 0.748  0.09

Properties
The calculation puts the total moment at 2.63 μB per formula unit.

three | Entry from the Alexandria database: an optimized crystal structure of FeReW2 (PBE).

Unit cell a=4.386 b=4.386 c=4.386 alpha=60.00 beta=60.00 gamma=60.00
Last column: magnetic moment on the atom in μB.
Element x y z (fractional)
Fe1 0.500 0.500 0.500  2.30
W1 0.750 0.750 0.750  0.00
W2 0.000 0.000 0.000  0.06
Re1 0.250 0.250 0.250  0.28

Properties
The calculation puts the total moment at 2.65 μB per formula unit.

What should be chosen as the most stable of them? Choose two.

one | Entry from the Alexandria database: an optimized crystal structure of FeReW2 (PBE).

Unit cell a=4.749 b=4.749 c=2.773 alpha=90.00 beta=90.00 gamma=108.63
Last column: magnetic moment on the atom in μB.
Element x y z (fractional)
W1 0.500 0.500 0.000  -0.12
W2 0.000 0.000 0.000  -0.12
Re1 0.000 0.500 0.500  -0.01
Fe1 0.500 0.000 0.500  1.48

Properties
The calculation puts the total moment at 1.19 μB per formula unit.

two | Entry from the Alexandria database: an optimized crystal structure of FeReW2 (PBE).

Unit cell a=2.692 b=2.692 c=8.050 alpha=90.00 beta=90.00 gamma=90.00
Last column: magnetic moment on the atom in μB.
Element x y z (fractional)
Fe1 0.000 0.000 0.510  0.24
W1 0.500 0.500 0.278  -0.01
W2 0.000 0.000 0.994  -0.02
Re1 0.500 0.500 0.718  -0.04

Properties
The calculation puts the total moment at 0.17 μB per formula unit.

What should be chosen as the most stable of them? Choose two.

one | Entry from the Alexandria database: an optimized crystal structure of FeReW (PBE).

Unit cell a=4.051 b=4.051 c=4.051 alpha=60.00 beta=60.00 gamma=60.00
Last column: magnetic moment on the atom in μB.
Element x y z (fractional)
Re1 0.000 0.000 0.000  0.00
Fe1 0.750 0.750 0.750  0.48
W1 0.500 0.500 0.500  -0.04

Properties
The calculation puts the total moment at 0.43 μB per formula unit.

two | Entry from the Alexandria database: an optimized crystal structure of FeReW (PBE).

Unit cell a=4.358 b=4.358 c=2.655 alpha=90.00 beta=90.00 gamma=120.00
Last column: magnetic moment on the atom in μB.
Element x y z (fractional)
W1 0.333 0.667 0.665  0.00
Re1 0.667 0.333 0.337  0.17
Fe1 0.000 0.000 0.998  2.58

Properties
The calculation puts the total moment at 2.75 μB per formula unit.

What should be chosen as the most stable of them? Choose two.

one | Entry from the Alexandria database: an optimized crystal structure of FeReW (PBE).

Unit cell a=4.750 b=4.750 c=4.750 alpha=147.02 beta=133.07 gamma=58.55
Element x y z (fractional)
Fe1 0.004 0.004 0.000
W1 0.337 0.337 0.000
Re1 0.658 0.658 0.000

Properties
The calculation puts the total moment at 0.00 μB per formula unit.

two | Entry from the Alexandria database: an optimized crystal structure of FeReW (PBE).

Unit cell a=6.094 b=6.094 c=6.094 alpha=154.52 beta=154.52 gamma=36.34
Element x y z (fractional)
Fe1 0.993 0.993 0.000
Re1 0.349 0.349 0.000
W1 0.657 0.657 0.000

Properties
The calculation puts the total moment at 0.00 μB per formula unit.

What should be chosen as the most stable of them? Choose two.

one | Entry from the Alexandria database: an optimized crystal structure of YFe2Re (PBE).

Unit cell a=5.145 b=5.145 c=5.145 alpha=142.92 beta=125.82 gamma=67.48
Last column: magnetic moment on the atom in μB.
Element x y z (fractional)
Re1 0.250 0.750 0.500  -0.13
Y1 0.750 0.250 0.500  -0.09
Fe1 0.476 0.476 0.000  2.20
Fe2 0.024 0.024 0.000  2.20

Properties
The calculation puts the total moment at 4.09 μB per formula unit.

two | Entry from the Alexandria database: an optimized crystal structure of YFe2Re (PBE).

Unit cell a=9.025 b=9.025 c=9.025 alpha=18.56 beta=18.56 gamma=18.56
Last column: magnetic moment on the atom in μB.
Element x y z (fractional)
Re1 0.250 0.250 0.250  -0.07
Fe1 0.990 0.990 0.990  2.24
Fe2 0.510 0.510 0.510  2.24
Y1 0.750 0.750 0.750  -0.12

Properties
The calculation puts the total moment at 4.26 μB per formula unit.

What should be chosen as the most stable of them? Choose one.

one | Entry from the Alexandria database: an optimized crystal structure of Y2FeRe (PBE).

Unit cell a=3.122 b=3.122 c=8.619 alpha=90.00 beta=90.00 gamma=89.99
Last column: magnetic moment on the atom in μB.
Element x y z (fractional)
Y1 0.500 0.500 0.317  -0.13
Y2 0.000 0.000 0.938  -0.04
Re1 0.500 0.500 0.693  -0.20
Fe1 0.000 0.000 0.552  1.37

Properties
The calculation puts the total moment at 0.87 μB per formula unit.

two | Entry from the Alexandria database: an optimized crystal structure of Y2FeRe (PBE).

Unit cell a=9.015 b=9.015 c=9.015 alpha=21.29 beta=21.29 gamma=21.29
Last column: magnetic moment on the atom in μB.
Element x y z (fractional)
Fe1 0.750 0.750 0.750  2.49
Re1 0.250 0.250 0.250  0.10
Y1 0.998 0.998 0.998  -0.15
Y2 0.502 0.502 0.502  -0.15

Properties
The calculation puts the total moment at 2.06 μB per formula unit.

What should be chosen as the most stable of them? Choose one.

one | Entry from the Alexandria database: an optimized crystal structure of Y2FeRe (PBE).

Unit cell a=4.813 b=4.813 c=4.813 alpha=60.00 beta=60.00 gamma=60.00
Last column: magnetic moment on the atom in μB.
Element x y z (fractional)
Fe1 0.500 0.500 0.500  2.60
Y1 0.250 0.250 0.250  -0.14
Y2 0.000 0.000 0.000  0.00
Re1 0.750 0.750 0.750  0.42

Properties
The calculation puts the total moment at 2.80 μB per formula unit.

two | Entry from the Alexandria database: an optimized crystal structure of Y2FeRe (PBE).

Unit cell a=7.776 b=7.776 c=7.776 alpha=29.26 beta=29.26 gamma=29.26
Element x y z (fractional)
Fe1 0.533 0.533 0.533
Re1 0.216 0.216 0.216
Y1 0.783 0.783 0.783
Y2 0.969 0.969 0.969

Properties
The calculation puts the total moment at 0.00 μB per formula unit.

three | Entry from the Alexandria database: an optimized crystal structure of Y2FeRe (PBE).

Unit cell a=5.576 b=5.576 c=5.576 alpha=136.11 beta=136.11 gamma=63.81
Last column: magnetic moment on the atom in μB.
Element x y z (fractional)
Y1 0.000 0.000 0.000  -0.13
Y2 0.250 0.750 0.500  -0.10
Fe1 0.500 0.500 0.000  2.60
Re1 0.750 0.250 0.500  0.45

Properties
The calculation puts the total moment at 2.81 μB per formula unit.

four | Entry from the Alexandria database: an optimized crystal structure of Y2FeRe (PBE).

Unit cell a=4.873 b=4.876 c=3.467 alpha=90.00 beta=90.00 gamma=90.00
Last column: magnetic moment on the atom in μB.
Element x y z (fractional)
Fe1 0.500 0.000 0.500  2.46
Re1 0.000 0.500 0.500  0.48
Y1 0.500 0.500 0.000  -0.12
Y2 0.000 0.000 0.000  -0.12

Properties
The calculation puts the total moment at 2.64 μB per formula unit.

What should be chosen as the most stable of them? Choose two.

one | Entry from the Alexandria database: an optimized crystal structure of Y2FeRe (PBE).

Unit cell a=3.930 b=4.449 c=5.587 alpha=66.51 beta=90.00 gamma=90.00
Element x y z (fractional)
Y1 0.500 0.270 0.336
Y2 0.000 0.979 0.918
Fe1 0.000 0.680 0.514
Re1 0.500 0.572 0.732

Properties
The calculation puts the total moment at 0.00 μB per formula unit.

two | Entry from the Alexandria database: an optimized crystal structure of Y2FeRe (PBE).

Unit cell a=5.948 b=5.948 c=4.807 alpha=66.18 beta=66.18 gamma=33.22
Last column: magnetic moment on the atom in μB.
Element x y z (fractional)
Y1 0.018 0.018 0.982  -0.08
Y2 0.234 0.234 0.266  0.02
Fe1 0.456 0.456 0.544  2.13
Re1 0.792 0.792 0.708  0.26

Properties
The calculation puts the total moment at 2.38 μB per formula unit.

What should be chosen as the most stable of them? Choose one.

one | Entry from the Alexandria database: an optimized crystal structure of Y2FeRe (PBE).

Unit cell a=7.556 b=7.556 c=6.056 alpha=51.40 beta=51.40 gamma=90.00
Element x y z (fractional)
Re1 0.750 0.250 0.500
Re2 0.000 0.000 0.000
Y1 0.595 0.125 0.250
Y2 0.875 0.845 0.750
Y3 0.375 0.405 0.750
Y4 0.155 0.625 0.250
Fe1 0.250 0.750 0.500
Fe2 0.500 0.500 0.000

Properties
The calculation puts the total moment at 0.00 μB per formula unit.

two | Entry from the Alexandria database: an optimized crystal structure of Y2FeRe (PBE).

Unit cell a=4.823 b=4.823 c=4.823 alpha=60.00 beta=60.00 gamma=60.00
Element x y z (fractional)
Re1 0.500 0.500 0.500
Y1 0.250 0.250 0.250
Y2 0.750 0.750 0.750
Fe1 0.000 0.000 0.000

Properties
The calculation puts the total moment at 0.00 μB per formula unit.

What should be chosen as the most stable of them? Choose two.

one | Entry from the Alexandria database: an optimized crystal structure of ZnFe2Re2 (PBE).

Unit cell a=7.276 b=7.276 c=2.629 alpha=90.00 beta=90.00 gamma=90.00
Element x y z (fractional)
Fe1 0.835 0.335 0.500
Fe2 0.165 0.665 0.500
Fe3 0.335 0.165 0.500
Fe4 0.665 0.835 0.500
Re1 0.627 0.127 0.000
Re2 0.873 0.627 0.000
Re3 0.373 0.873 0.000
Re4 0.127 0.373 0.000
Zn1 0.500 0.500 0.000
Zn2 0.000 0.000 0.000

Properties
The calculation puts the total moment at 0.00 μB per formula unit.

two | Entry from the Alexandria database: an optimized crystal structure of ZnFe2Re2 (PBE).

Unit cell a=7.129 b=7.129 c=2.662 alpha=90.00 beta=90.00 gamma=90.00
Element x y z (fractional)
Re1 0.667 0.833 0.500
Re2 0.833 0.333 0.500
Re3 0.333 0.167 0.500
Re4 0.167 0.667 0.500
Fe1 0.376 0.876 0.000
Fe2 0.624 0.124 0.000
Fe3 0.124 0.376 0.000
Fe4 0.876 0.624 0.000
Zn1 0.500 0.500 0.000
Zn2 0.000 0.000 0.000

Properties
The calculation puts the total moment at 0.00 μB per formula unit.

What should be chosen as the most stable of them? Choose two.

one | Entry from the Alexandria database: an optimized crystal structure of ZrFeRe2 (PBE).

Unit cell a=4.462 b=4.462 c=4.462 alpha=60.00 beta=60.00 gamma=60.00
Last column: magnetic moment on the atom in μB.
Element x y z (fractional)
Zr1 0.500 0.500 0.500  0.06
Re1 0.750 0.750 0.750  -0.07
Re2 0.250 0.250 0.250  -0.07
Fe1 0.000 0.000 0.000  2.43

Properties
The calculation puts the total moment at 2.29 μB per formula unit.

two | Entry from the Alexandria database: an optimized crystal structure of ZrFeRe2 (PBE).

Unit cell a=7.389 b=7.389 c=5.779 alpha=50.26 beta=50.26 gamma=90.00
Element x y z (fractional)
Zr1 0.000 0.000 0.000
Zr2 0.750 0.250 0.500
Re1 0.375 0.435 0.750
Re2 0.185 0.625 0.250
Re3 0.875 0.815 0.750
Re4 0.565 0.125 0.250
Fe1 0.500 0.500 0.000
Fe2 0.250 0.750 0.500

Properties
The calculation puts the total moment at 0.00 μB per formula unit.

What should be chosen as the most stable of them? Choose one.

one | Entry from the Alexandria database: an optimized crystal structure of ZrFe2Re2 (PBE).

Unit cell a=3.921 b=3.921 c=5.880 alpha=70.53 beta=70.53 gamma=90.00
Element x y z (fractional)
Fe1 0.750 0.250 0.500
Fe2 0.250 0.750 0.500
Zr1 0.000 0.000 0.000
Re1 0.382 0.382 0.236
Re2 0.618 0.618 0.764

Properties
The calculation puts the total moment at 0.00 μB per formula unit.

two | Entry from the Alexandria database: an optimized crystal structure of ZrFe2Re2 (PBE).

Unit cell a=7.308 b=7.308 c=2.705 alpha=90.00 beta=90.00 gamma=90.00
Element x y z (fractional)
Fe1 0.376 0.876 0.000
Fe2 0.624 0.124 0.000
Fe3 0.124 0.376 0.000
Fe4 0.876 0.624 0.000
Re1 0.831 0.331 0.500
Re2 0.169 0.669 0.500
Re3 0.331 0.169 0.500
Re4 0.669 0.831 0.500
Zr1 0.000 0.000 0.000
Zr2 0.500 0.500 0.000

Properties
The calculation puts the total moment at 0.00 μB per formula unit.

What should be chosen as the most stable of them? Choose two.